Entry from Alexandria via LeMat-Bulk: crystalline Tb2PmPaSe4 at its relaxed geometry (PBE).

CIF file:
```
data_Tb2PmPaSe4
_chemical_formula_sum 'Tb2 Pm1 Pa1 Se4'
_symmetry_space_group_name_H-M 'P 1 2/m 1'
_symmetry_Int_Tables_number 10
_cell_length_a 7.1128
_cell_length_b 4.0684
_cell_length_c 7.1824
_cell_angle_alpha 90.00
_cell_angle_beta 108.89
_cell_angle_gamma 90.00
loop_
_symmetry_equiv_pos_as_xyz
'x,y,z'
'-x,-y,-z'
'-x,y,-z'
'x,-y,z'
loop_
_atom_site_label
_atom_site_fract_x
_atom_site_fract_y
_atom_site_fract_z
Tb1 0.0000 0.0000 0.0000
Tb2 0.5000 0.5000 0.0000
Pm1 0.0000 0.5000 0.5000
Pa1 0.5000 0.0000 0.5000
Se1 0.2514 0.5000 0.2455
Se2 0.2556 0.0000 0.7564
```

Output
As for the crystal system: monoclinic. As for the formation energy (no corrections): -1.628 eV per atom. Its calculated volume is 24.58 A^3/atom. The value obtained for the total energy is -50.47 eV for the cell shown.